1.
Here is a relaxed structure of ZrAgO2F from Alexandria via LeMat-Bulk. Energies are from PBE.

Properties
Space-group type: No. 123
Uncorrected energy: -5.169 eV per atom

```
ZrAgO2F
1.0
-0.672 3.535 -2.016
-2.885 -1.854 -2.291
-2.885 1.042 2.790
O Zr Ag F
2 1 1 1
Cartesian
-1.442 -0.927 -1.145
-0.336 1.767 -1.008
-3.221 1.361 -0.758
0.000 0.000 0.000
-1.443 0.521 1.395
```


2.
Here is a relaxed structure of ZrAgOF2 from Alexandria via LeMat-Bulk. Energies are from PBE.

Properties
Space-group type: No. 123
Uncorrected energy: -4.736 eV per atom

```
ZrAgOF2
1.0
-3.914 -1.591 0.911
1.650 -2.120 3.385
-0.768 3.280 2.429
O Zr Ag F
1 1 1 2
Cartesian
-0.384 1.640 1.214
-1.516 -0.216 3.362
0.000 0.000 0.000
0.825 -1.060 1.693
-1.957 -0.796 0.455
```


3.
Here is a relaxed structure of AgOsF6 from Alexandria via LeMat-Bulk. Energies are from PBE.

Properties
Space-group type: No. 12
Uncorrected energy: -4.785 eV per atom

```
AgOsF6
1.0
5.035 0.093 -0.095
0.471 5.013 -0.095
1.446 1.341 4.904
Ag Os F
1 1 6
Cartesian
3.476 3.224 2.357
0.000 0.000 0.000
1.396 4.043 1.279
4.137 1.089 1.279
2.816 5.360 3.436
5.556 2.405 3.436
2.849 2.642 4.775
4.104 3.806 -0.060
```


4.
Here is a relaxed structure of Ag2OsF from Alexandria via LeMat-Bulk. Energies are from PBE.

Properties
Space-group type: No. 225
Uncorrected energy: -3.973 eV per atom

```
Ag2OsF
1.0
-0.835 -3.497 2.742
-1.193 0.733 4.299
-4.230 -0.855 1.349
Os Ag F
1 2 1
Cartesian
-3.129 -1.810 4.195
-1.565 -0.905 2.098
-4.694 -2.715 6.293
0.000 0.000 0.000
```


5.
Here is a relaxed structure of Ag2Os2F from Alexandria via LeMat-Bulk. Energies are from PBE.

Properties
Space-group type: No. 139
Uncorrected energy: -4.728 eV per atom

```
Ag2Os2F
1.0
-0.693 3.576 -1.281
-1.145 -1.438 -3.395
-6.627 0.708 -0.260
Os Ag F
2 2 1
Cartesian
-1.955 1.003 -1.961
-6.509 1.842 -2.976
-4.119 2.676 -1.940
-4.345 0.169 -2.997
0.000 0.000 0.000
```


6.
Here is a relaxed structure of AgOsF3 from Alexandria via LeMat-Bulk. Energies are from PBE.

Properties
Space-group type: No. 221
Uncorrected energy: -4.416 eV per atom

```
AgOsF3
1.0
-1.998 -3.690 -0.118
3.084 -1.742 2.253
-2.029 0.985 3.540
Os Ag F
1 1 3
Cartesian
0.000 0.000 0.000
-0.471 -2.223 2.837
1.542 -0.871 1.126
-1.014 0.493 1.770
-0.999 -1.845 -0.059
```


7.
Here is a relaxed structure of Ag2OsF from Alexandria via LeMat-Bulk. Energies are from PBE.

Properties
Space-group type: No. 122
Uncorrected energy: -4.021 eV per atom

```
Ag2OsF
1.0
-3.393 -5.705 -1.978
5.953 -2.782 -2.187
1.685 -5.357 0.435
Os Ag F
2 4 2
Cartesian
0.000 0.000 0.000
-0.214 -7.653 -1.812
-0.823 -5.029 -1.323
3.585 -4.015 -1.583
2.457 -7.309 -1.321
3.271 -11.335 -3.232
1.280 -4.244 -2.082
4.459 -6.192 -1.917
```


8.
Here is a relaxed structure of Ag3OsF from Alexandria via LeMat-Bulk. Energies are from PBE.

Properties
Space-group type: No. 221
Uncorrected energy: -3.062 eV per atom

```
Ag3OsF
1.0
5.156 0.000 0.000
0.000 5.156 0.000
0.000 0.000 5.156
Os Ag F
1 3 1
Cartesian
0.000 0.000 0.000
0.000 2.578 0.000
0.000 0.000 2.578
2.578 0.000 0.000
2.578 2.578 2.578
```


9.
Here is a relaxed structure of Ag2Os2F from Alexandria via LeMat-Bulk. Energies are from PBE.

Properties
Space-group type: No. 127
Uncorrected energy: -5.169 eV per atom

```
Ag2Os2F
1.0
8.206 0.000 0.000
0.000 8.206 0.000
0.000 0.000 2.667
Os Ag F
4 4 2
Cartesian
3.282 7.385 0.000
7.385 4.924 0.000
4.924 0.821 0.000
0.821 3.282 0.000
1.595 5.698 1.333
5.698 6.610 1.333
6.610 2.507 1.333
2.507 1.595 1.333
0.000 0.000 0.000
4.103 4.103 0.000
```


10.
Here is a relaxed structure of Ag3OsF from Alexandria via LeMat-Bulk. Energies are from PBE.

Properties
Space-group type: No. 221
Uncorrected energy: -3.443 eV per atom

```
Ag3OsF
1.0
4.487 0.000 0.000
0.000 4.487 0.000
0.000 0.000 4.487
Os Ag F
1 3 1
Cartesian
2.243 2.243 2.243
0.000 2.243 0.000
0.000 0.000 2.243
2.243 0.000 0.000
0.000 0.000 0.000
```


11.
Here is a relaxed structure of AgOsF3 from Alexandria via LeMat-Bulk. Energies are from PBE.

Properties
Space-group type: No. 221
Uncorrected energy: -3.668 eV per atom

```
AgOsF3
1.0
4.402 0.000 0.000
0.000 4.402 0.000
0.000 0.000 4.402
Os Ag F
1 1 3
Cartesian
2.201 2.201 2.201
0.000 0.000 0.000
0.000 2.201 0.000
0.000 0.000 2.201
2.201 0.000 0.000
```


12.
Here is a relaxed structure of AgOsPtF2 from Alexandria via LeMat-Bulk. Energies are from PBE.

Properties
Space-group type: No. 123
Uncorrected energy: -4.080 eV per atom

```
AgOsPtF2
1.0
4.058 0.000 0.000
0.000 5.678 0.000
0.000 0.000 4.058
Os Ag Pt F
1 1 1 2
Cartesian
2.029 2.839 2.029
0.000 2.839 0.000
0.000 0.000 0.000
0.000 0.000 2.029
2.029 0.000 0.000
```


13.
Here is a relaxed structure of RbAgOsF6 from Alexandria via LeMat-Bulk. Energies are from PBE.

Properties
Space-group type: No. 149
Uncorrected energy: -4.737 eV per atom

```
RbAgOsF6
1.0
5.337 0.000 0.000
0.000 6.215 0.000
0.000 -3.108 5.383
Rb Ag Os F
1 1 1 6
Cartesian
0.000 0.000 3.589
2.668 3.108 1.794
2.668 0.000 0.000
3.730 2.309 3.920
3.730 1.666 0.039
3.730 5.348 1.423
1.607 0.867 1.423
1.607 4.550 0.039
1.607 3.907 3.920
```


14.
Here is a relaxed structure of AgOsRh2F from Alexandria via LeMat-Bulk. Energies are from PBE.

Properties
Space-group type: No. 123
Uncorrected energy: -5.117 eV per atom

```
AgOsRh2F
1.0
-4.030 -0.329 1.164
1.135 -2.893 3.111
0.533 3.151 2.736
Rh Os Ag F
2 1 1 1
Cartesian
0.266 1.576 1.368
-2.015 -0.165 0.582
-1.181 -0.036 3.506
0.568 -1.447 1.556
0.000 0.000 0.000
```


15.
Here is a relaxed structure of AgOsRuF2 from Alexandria via LeMat-Bulk. Energies are from PBE.

Properties
Space-group type: No. 123
Uncorrected energy: -4.622 eV per atom

```
AgOsRuF2
1.0
3.875 0.000 0.000
0.000 5.956 0.000
0.000 0.000 3.875
Ru Os Ag F
1 1 1 2
Cartesian
0.000 2.978 0.000
1.938 2.978 1.938
0.000 0.000 0.000
0.000 0.000 1.938
1.938 0.000 0.000
```


16.
Here is a relaxed structure of AgOsSF2 from Alexandria via LeMat-Bulk. Energies are from PBE.

Properties
Space-group type: No. 123
Uncorrected energy: -3.633 eV per atom

```
AgOsSF2
1.0
3.954 0.000 0.000
0.000 5.708 0.000
0.000 0.000 3.954
S Os Ag F
1 1 1 2
Cartesian
0.000 0.000 0.000
1.977 2.854 1.977
0.000 2.854 0.000
0.000 0.000 1.977
1.977 0.000 0.000
```


17.
Here is a relaxed structure of TlAgOsF6 from Alexandria via LeMat-Bulk. Energies are from PBE.

Properties
Space-group type: No. 149
Uncorrected energy: -4.651 eV per atom

```
TlAgOsF6
1.0
-4.930 0.232 -1.703
0.838 -5.306 -3.150
-2.039 -0.159 5.882
Tl Ag Os F
1 1 1 6
Cartesian
-1.080 -1.875 2.871
-2.586 -3.474 -0.991
-2.465 0.116 -0.851
-4.335 -3.860 0.766
-3.257 -1.280 -2.005
-3.174 -5.141 -2.771
-1.772 -1.415 0.189
-0.862 -3.840 -2.777
-2.116 -5.310 0.654
```